<w>
## LaTa2 (GGA-PBEsol)

Data for LaTa2 after structural relaxation.

a b c (Å): 2.943 5.816 8.275
angles (deg): 91.39 90.00 104.65
Positions (direct):
La  0.939  0.878  0.010
Ta  0.683  0.366  0.872
Ta  0.329  0.658  0.652
Ta  0.064  0.129  0.631
Ta  0.451  0.901  0.377
La  0.701  0.401  0.291

Results
Calculated density = 12.1 g/cm³
Density of states at the Fermi level = 7.46 states/eV/cell
Crystal system = monoclinic

<x>
## LaTa2 (GGA-PBEsol)

Data for LaTa2 after structural relaxation.

a b c (Å): 3.066 5.018 5.018
angles (deg): 120.00 90.00 90.00
Positions (direct):
Ta  0.500  0.667  0.333
La  0.000  0.000  0.000
Ta  0.500  0.333  0.667

Results
Calculated density = 12.4 g/cm³
Density of states at the Fermi level = 3.46 states/eV/cell
Crystal system = hexagonal

The calculated energies rank the structures as follows, beginning with the most stable: <w>, <x>.

<w>
## LaTaTe (GGA-PBEsol)

Data for LaTaTe after structural relaxation.

a b c (Å): 3.521 3.521 7.152
angles (deg): 90.00 90.00 120.00
Positions (direct):
Te  0.667  0.333  0.374
Ta  0.333  0.667  0.639
La  0.000  0.000  0.987

Results
Calculated density = 9.7 g/cm³
Density of states at the Fermi level = 1.15 states/eV/cell
Crystal system = trigonal

<x>
## LaTaTe (GGA-PBEsol)

Data for LaTaTe after structural relaxation.

a b c (Å): 3.784 4.814 4.814
angles (deg): 120.00 90.00 90.00
Positions (direct):
Ta  0.000  0.333  0.667
La  0.500  0.000  0.000
Te  0.000  0.667  0.333

Results
Calculated density = 9.8 g/cm³
Density of states at the Fermi level = 4.27 states/eV/cell
Crystal system = hexagonal

The calculated energies rank the structures as follows, beginning with the most stable: <w>, <x>.

<w>
## LaTa2W (GGA-PBEsol)

Data for LaTa2W after structural relaxation.

a b c (Å): 3.204 5.157 5.643
angles (deg): 117.19 106.49 90.00
Positions (direct):
Ta  0.234  0.234  0.467
Ta  0.766  0.766  0.533
La  0.000  0.500  0.000
W  0.500  0.000  0.000

Results
Calculated density = 14.5 g/cm³
Density of states at the Fermi level = 3.88 states/eV/cell
Crystal system = orthorhombic

<x>
## LaTa2W (GGA-PBEsol)

Data for LaTa2W after structural relaxation.

a b c (Å): 3.142 4.906 4.906
angles (deg): 90.00 90.00 90.00
Positions (direct):
Ta  0.000  0.500  0.000
Ta  0.000  0.000  0.500
W  0.500  0.500  0.500
La  0.500  0.000  0.000

Results
Calculated density = 15.0 g/cm³
Density of states at the Fermi level = 3.96 states/eV/cell
Crystal system = tetragonal

The calculated energies rank the structures as follows, beginning with the most stable: <w>, <x>.

<w>
## LaY2Ta (GGA-PBEsol)

Data for LaY2Ta after structural relaxation.

a b c (Å): 3.268 4.773 6.747
angles (deg): 90.00 90.00 90.00
Positions (direct):
Ta  0.500  0.500  0.500
Y  0.000  0.000  0.276
La  0.500  0.500  0.000
Y  0.000  0.000  0.724

Results
Calculated density = 7.9 g/cm³
Density of states at the Fermi level = 5.22 states/eV/cell
Crystal system = orthorhombic

<x>
## LaY2Ta (GGA-PBEsol)

Data for LaY2Ta after structural relaxation.

a b c (Å): 5.274 5.274 5.274
angles (deg): 60.00 60.00 60.00
Positions (direct):
Y  0.750  0.750  0.750
Y  0.000  0.000  0.000
Ta  0.250  0.250  0.250
La  0.500  0.500  0.500

Results
Calculated density = 8.0 g/cm³
Density of states at the Fermi level = 5.79 states/eV/cell
Crystal system = cubic

The calculated energies rank the structures as follows, beginning with the most stable: <w>, <x>.

<w>
## La2YTa (GGA-PBEsol)

Data for La2YTa after structural relaxation.

a b c (Å): 3.325 5.678 6.691
angles (deg): 115.11 104.39 90.00
Positions (direct):
La  0.719  0.719  0.437
Y  0.500  0.000  0.000
La  0.281  0.281  0.563
Ta  0.000  0.500  0.000

Results
Calculated density = 8.3 g/cm³
Density of states at the Fermi level = 5.29 states/eV/cell
Crystal system = orthorhombic

<x>
## La2YTa (GGA-PBEsol)

Data for La2YTa after structural relaxation.

a b c (Å): 3.254 3.254 10.507
angles (deg): 90.00 90.00 90.00
Positions (direct):
Y  0.500  0.500  0.710
Ta  0.000  0.000  0.507
La  0.500  0.500  0.287
La  0.000  0.000  0.996

Results
Calculated density = 8.2 g/cm³
Density of states at the Fermi level = 5.54 states/eV/cell
Crystal system = tetragonal

<y>
## La2YTa (GGA-PBEsol)

Data for La2YTa after structural relaxation.

a b c (Å): 3.251 3.251 11.153
angles (deg): 90.00 90.00 110.90
Positions (direct):
La  0.000  0.000  0.287
Y  0.500  0.500  0.000
Ta  0.500  0.500  0.500
La  0.000  0.000  0.713

Results
Calculated density = 8.3 g/cm³
Density of states at the Fermi level = 6.94 states/eV/cell
Crystal system = orthorhombic

The calculated energies rank the structures as follows, beginning with the most stable: <x>, <w>, <y>.

<w>
## La2YTa (GGA-PBEsol)

Data for La2YTa after structural relaxation.

a b c (Å): 3.989 5.224 6.209
angles (deg): 114.88 108.74 90.00
Positions (direct):
Ta  0.499  0.499  0.997
Y  0.223  0.723  0.445
La  0.999  0.999  0.998
La  0.780  0.280  0.559

Results
Calculated density = 8.3 g/cm³
Density of states at the Fermi level = 5.52 states/eV/cell
Crystal system = orthorhombic

<x>
## La2YTa (GGA-PBEsol)

Data for La2YTa after structural relaxation.

a b c (Å): 3.304 3.304 10.139
angles (deg): 90.00 90.00 90.00
Positions (direct):
Y  0.500  0.500  0.500
La  0.000  0.000  0.221
Ta  0.500  0.500  0.000
La  0.000  0.000  0.779

Results
Calculated density = 8.2 g/cm³
Density of states at the Fermi level = 5.80 states/eV/cell
Crystal system = tetragonal

The calculated energies rank the structures as follows, beginning with the most stable: <x>, <w>.

<w>
## LaYTa2 (GGA-PBEsol)

Data for LaYTa2 after structural relaxation.

a b c (Å): 3.768 3.768 6.662
angles (deg): 90.00 90.00 90.00
Positions (direct):
Ta  0.000  0.000  0.708
Ta  0.000  0.000  0.292
La  0.500  0.500  0.500
Y  0.500  0.500  0.000

Results
Calculated density = 10.4 g/cm³
Density of states at the Fermi level = 3.87 states/eV/cell
Crystal system = tetragonal

<x>
## LaYTa2 (GGA-PBEsol)

Data for LaYTa2 after structural relaxation.

a b c (Å): 3.109 3.109 10.988
angles (deg): 81.87 81.87 60.00
Positions (direct):
Y  0.500  0.500  0.500
Ta  0.247  0.247  0.260
La  0.000  0.000  0.000
Ta  0.753  0.753  0.740

Results
Calculated density = 10.8 g/cm³
Density of states at the Fermi level = 5.95 states/eV/cell
Crystal system = trigonal

The calculated energies rank the structures as follows, beginning with the most stable: <x>, <w>.

<w>
## LaYTa (GGA-PBEsol)

Data for LaYTa after structural relaxation.

a b c (Å): 3.152 4.850 5.699
angles (deg): 115.18 106.06 90.00
Positions (direct):
Y  0.677  0.677  0.355
Ta  0.330  0.330  0.660
La  0.993  0.993  0.986

Results
Calculated density = 9.0 g/cm³
Density of states at the Fermi level = 4.41 states/eV/cell
Crystal system = orthorhombic

<x>
## LaYTa (GGA-PBEsol)

Data for LaYTa after structural relaxation.

a b c (Å): 3.182 3.182 8.103
angles (deg): 101.32 101.32 90.00
Positions (direct):
Y  0.690  0.690  0.379
La  0.981  0.981  0.962
Ta  0.329  0.329  0.658

Results
Calculated density = 8.6 g/cm³
Density of states at the Fermi level = 3.45 states/eV/cell
Crystal system = tetragonal

The calculated energies rank the structures as follows, beginning with the most stable: <x>, <w>.

<w>
## La5Tc (GGA-PBEsol)

Data for La5Tc after structural relaxation.

a b c (Å): 4.243 5.875 7.449
angles (deg): 90.00 106.55 90.00
Positions (direct):
La  0.629  0.000  0.259
La  0.141  0.500  0.281
La  0.859  0.500  0.719
La  0.500  0.500  0.000
La  0.371  0.000  0.741
Tc  0.000  0.000  0.000

Results
Calculated density = 7.4 g/cm³
Density of states at the Fermi level = 7.38 states/eV/cell
Crystal system = orthorhombic

<x>
## La5Tc (GGA-PBEsol)

Data for La5Tc after structural relaxation.

a b c (Å): 3.518 3.518 14.463
angles (deg): 90.00 90.00 90.00
Positions (direct):
La  0.000  0.000  0.382
La  0.000  0.000  0.000
La  0.000  0.000  0.618
La  0.500  0.500  0.828
Tc  0.500  0.500  0.500
La  0.500  0.500  0.172

Results
Calculated density = 7.4 g/cm³
Density of states at the Fermi level = 6.78 states/eV/cell
Crystal system = tetragonal

<y>
## La5Tc (GGA-PBEsol)

Data for La5Tc after structural relaxation.

a b c (Å): 3.795 6.308 8.123
angles (deg): 106.51 90.00 107.51
Positions (direct):
La  0.177  0.354  0.820
La  0.876  0.753  0.618
La  0.124  0.247  0.382
La  0.823  0.646  0.180
Tc  0.500  0.000  0.500
La  0.500  0.000  0.000

Results
Calculated density = 7.4 g/cm³
Density of states at the Fermi level = 6.64 states/eV/cell
Crystal system = monoclinic

The calculated energies rank the structures as follows, beginning with the most stable: <y>, <x>, <w>.

<w>
## LaTc2 (GGA-PBEsol)

Data for LaTc2 after structural relaxation.

a b c (Å): 4.062 4.062 4.666
angles (deg): 90.00 90.00 120.00
Positions (direct):
La  0.000  0.000  0.000
Tc  0.333  0.667  0.465
Tc  0.667  0.333  0.535

Results
Calculated density = 8.3 g/cm³
Density of states at the Fermi level = 3.00 states/eV/cell
Crystal system = trigonal

<x>
## LaTc2 (GGA-PBEsol)

Data for LaTc2 after structural relaxation.

a b c (Å): 5.282 5.282 9.322
angles (deg): 90.00 90.00 120.00
Positions (direct):
Tc  0.339  0.170  0.250
Tc  0.000  0.000  0.500
La  0.333  0.667  0.438
Tc  0.830  0.661  0.250
La  0.667  0.333  0.938
Tc  0.661  0.830  0.750
Tc  0.830  0.170  0.250
La  0.333  0.667  0.062
Tc  0.170  0.830  0.750
La  0.667  0.333  0.562
Tc  0.000  0.000  0.000
Tc  0.170  0.339  0.750

Results
Calculated density = 9.9 g/cm³
Density of states at the Fermi level = 17.03 states/eV/cell
Crystal system = hexagonal

<y>
## LaTc2 (GGA-PBEsol)

Data for LaTc2 after structural relaxation.

a b c (Å): 4.230 5.770 5.770
angles (deg): 78.99 68.50 68.50
Positions (direct):
Tc  0.335  0.579  0.752
Tc  0.335  0.252  0.079
La  0.069  0.181  0.681
Tc  0.665  0.748  0.921
Tc  0.665  0.421  0.248
La  0.931  0.819  0.319

Results
Calculated density = 9.1 g/cm³
Density of states at the Fermi level = 3.79 states/eV/cell
Crystal system = orthorhombic

The calculated energies rank the structures as follows, beginning with the most stable: <y>, <x>, <w>.

<w>
## La2TcTe (GGA-PBEsol)

Data for La2TcTe after structural relaxation.

a b c (Å): 5.275 5.275 5.275
angles (deg): 60.00 60.00 60.00
Positions (direct):
Tc  0.000  0.000  0.000
La  0.750  0.750  0.750
La  0.250  0.250  0.250
Te  0.500  0.500  0.500

Results
Calculated density = 8.1 g/cm³
Density of states at the Fermi level = 3.42 states/eV/cell
Crystal system = cubic

<x>
## La2TcTe (GGA-PBEsol)

Data for La2TcTe after structural relaxation.

a b c (Å): 3.614 3.614 8.126
angles (deg): 90.00 90.00 101.17
Positions (direct):
La  0.000  0.000  0.716
La  0.000  0.000  0.284
Te  0.500  0.500  0.000
Tc  0.500  0.500  0.500

Results
Calculated density = 8.0 g/cm³
Density of states at the Fermi level = 3.64 states/eV/cell
Crystal system = orthorhombic

The calculated energies rank the structures as follows, beginning with the most stable: <x>, <w>.

<w>
## LaTl2Tc (GGA-PBEsol)

Data for LaTl2Tc after structural relaxation.

a b c (Å): 3.855 4.751 5.054
angles (deg): 90.00 90.00 90.00
Positions (direct):
Tl  0.000  0.000  0.000
Tc  0.000  0.500  0.500
La  0.500  0.000  0.500
Tl  0.500  0.500  0.000

Results
Calculated density = 11.6 g/cm³
Density of states at the Fermi level = 4.00 states/eV/cell
Crystal system = orthorhombic

<x>
## LaTl2Tc (GGA-PBEsol)

Data for LaTl2Tc after structural relaxation.

a b c (Å): 3.239 5.846 5.835
angles (deg): 59.94 82.77 75.44
Positions (direct):
Tl  0.000  0.500  0.500
La  0.500  0.500  0.000
Tc  0.500  0.000  0.000
Tl  0.000  0.000  0.500

Results
Calculated density = 11.6 g/cm³
Density of states at the Fermi level = 3.10 states/eV/cell
Crystal system = monoclinic

The calculated energies rank the structures as follows, beginning with the most stable: <w>, <x>.

<w>
## LaYTc (GGA-PBEsol)

Data for LaYTc after structural relaxation.

a b c (Å): 4.675 4.675 4.675
angles (deg): 60.00 60.00 60.00
Positions (direct):
Tc  0.000  0.000  0.000
Y  0.500  0.500  0.500
La  0.250  0.250  0.250

Results
Calculated density = 7.5 g/cm³
Density of states at the Fermi level = 4.54 states/eV/cell
Crystal system = cubic

<x>
## LaYTc (GGA-PBEsol)

Data for LaYTc after structural relaxation.

a b c (Å): 3.577 4.717 4.717
angles (deg): 120.00 90.00 90.00
Positions (direct):
Tc  0.704  0.333  0.667
La  0.920  0.000  0.000
Y  0.376  0.667  0.333

Results
Calculated density = 7.8 g/cm³
Density of states at the Fermi level = 2.56 states/eV/cell
Crystal system = trigonal

The calculated energies rank the structures as follows, beginning with the most stable: <x>, <w>.